Record 1
Entry from the Alexandria database: Zr2TlSi after structural relaxation (PBE). Values from VASP.

Output
* raw formation energy: -23.1 kJ/mol of atoms
* space-group type: No. 12
* magnetic moment: 0.00 μB/atom

Geometry as Quantum ESPRESSO input:
```
&SYSTEM
  ibrav = 0, nat = 8, ntyp = 3
/
ATOMIC_SPECIES
Zr 91.22 Zr.upf
Tl 204.38 Tl.upf
Si 28.09 Si.upf
CELL_PARAMETERS angstrom
9.481 0.000 0.000
0.000 3.999 0.000
-2.359 0.000 4.392
ATOMIC_POSITIONS crystal
Zr 0.230 0.000 0.224
Zr 0.270 0.500 0.776
Zr 0.730 0.500 0.224
Zr 0.770 0.000 0.776
Tl 0.000 0.000 0.500
Tl 0.500 0.500 0.500
Si 0.000 0.500 0.000
Si 0.500 0.000 0.000
```

---

Record 2
Entry from the Alexandria database: PuAlOs2 after structural relaxation (PBE). Values from VASP.

Output
* space-group type: No. 123
* ΔE_f: -0.09 eV/atom
* magnetic moment: 0.80 μB/atom

Geometry as Quantum ESPRESSO input:
```
&SYSTEM
  ibrav = 0, nat = 4, ntyp = 3
/
ATOMIC_SPECIES
Pu 244.00 Pu.upf
Al 26.98 Al.upf
Os 190.23 Os.upf
CELL_PARAMETERS angstrom
4.292 0.000 0.000
0.000 4.292 0.000
0.000 0.000 3.594
ATOMIC_POSITIONS crystal
Pu 0.000 0.000 0.000
Al 0.500 0.500 0.000
Os 0.000 0.500 0.500
Os 0.500 0.000 0.500
```

---

Record 3
Entry from the Alexandria database: Rb2TbNpSe4 after structural relaxation (PBE). Values from VASP.

Output
* raw formation energy: -142.7 kJ/mol of atoms
* space-group type: No. 10
* magnetic moment: 0.50 μB/atom

Geometry as Quantum ESPRESSO input:
```
&SYSTEM
  ibrav = 0, nat = 8, ntyp = 4
/
ATOMIC_SPECIES
Rb 85.47 Rb.upf
Tb 158.93 Tb.upf
Np 237.00 Np.upf
Se 78.96 Se.upf
CELL_PARAMETERS angstrom
7.444 0.000 0.000
0.000 4.286 0.000
-2.481 0.000 7.986
ATOMIC_POSITIONS crystal
Rb 0.000 0.000 0.000
Rb 0.500 0.500 0.000
Tb 0.000 0.500 0.500
Np 0.500 0.000 0.500
Se 0.229 0.000 0.697
Se 0.266 0.500 0.304
Se 0.734 0.500 0.696
Se 0.771 0.000 0.303
```

---

Record 4
Entry from the Alexandria database: DyThSbTe after structural relaxation (PBE). Values from VASP.

Output
* raw formation energy: -104.3 kJ/mol of atoms
* energy above the most stable polymorph in this dataset: 0.0 kJ per mole of atoms
* space-group type: No. 123
* magnetic moment: 0.00 μB/atom

Geometry as Quantum ESPRESSO input:
```
&SYSTEM
  ibrav = 0, nat = 4, ntyp = 4
/
ATOMIC_SPECIES
Dy 162.50 Dy.upf
Th 232.04 Th.upf
Sb 121.76 Sb.upf
Te 127.60 Te.upf
CELL_PARAMETERS angstrom
4.435 0.000 0.000
0.000 4.435 0.000
0.000 0.000 6.283
ATOMIC_POSITIONS crystal
Dy 0.000 0.000 0.000
Th 0.500 0.500 0.500
Sb 0.500 0.500 0.000
Te 0.000 0.000 0.500
```